Crystalline GdErMgTi at its relaxed geometry, computed with GGA-PBE.

Lattice parameters (Å, degrees): 5.250 5.250 5.250 60.00 60.00 60.00
Element x y z (fractional)
Mg 0.250 0.250 0.250
Gd 0.500 0.500 0.500
Ti 0.750 0.750 0.750
Er 0.000 0.000 0.000

Output
Space group: F-43m (216)
M_tot (μB/f.u.): 9.3
V (Å³ per cell): 102.31


Crystalline GdErTmMg at its relaxed geometry, computed with GGA-PBE.

Lattice parameters (Å, degrees): 5.468 5.468 5.468 60.00 60.00 60.00
Element x y z (fractional)
Gd 0.750 0.750 0.750
Mg 0.000 0.000 0.000
Tm 0.500 0.500 0.500
Er 0.250 0.250 0.250

Output
Space group: F-43m (216)
M_tot (μB/f.u.): 7.4
V (Å³ per cell): 115.63


Crystalline GdYErMg at its relaxed geometry, computed with GGA-PBE.

Lattice parameters (Å, degrees): 5.505 5.505 5.505 60.00 60.00 60.00
Element x y z (fractional)
Y 0.750 0.750 0.750
Mg 0.000 0.000 0.000
Gd 0.250 0.250 0.250
Er 0.500 0.500 0.500

Output
Space group: F-43m (216)
M_tot (μB/f.u.): 7.5
V (Å³ per cell): 117.97


Crystalline GdErMgZn at its relaxed geometry, computed with GGA-PBE.

Lattice parameters (Å, degrees): 5.197 5.197 5.197 60.00 60.00 60.00
Element x y z (fractional)
Zn 0.000 0.000 0.000
Gd 0.250 0.250 0.250
Mg 0.500 0.500 0.500
Er 0.750 0.750 0.750

Output
Space group: F-43m (216)
M_tot (μB/f.u.): 7.8
V (Å³ per cell): 99.23


Number 1: calculated formation energy 55 kJ/mol of formula units, E_tot -27.57 eV for the cell shown. Number 2: calculated formation energy 13 kJ/mol of formula units, E_tot -24.57 eV for the cell shown. Number 3: calculated formation energy 12 kJ/mol of formula units, E_tot -26.57 eV for the cell shown. Number 4: calculated formation energy -70 kJ/mol of formula units, E_tot -22.24 eV for the cell shown.